1.
Computed, not measured: an optimized crystal structure of Ac3Mg2NpN6 at the PBE level of DFT.

Cell and atoms, written as CIF:
```
data_Ac3Mg2NpN6
_symmetry_space_group_name_H-M 'C 1 2/m 1'
_symmetry_Int_Tables_number 12
_symmetry_space_group_name_Hall '-C 2y'
_cell_length_a 5.9897
_cell_length_b 11.4885
_cell_length_c 6.0978
_cell_angle_alpha 90.00
_cell_angle_beta 104.03
_cell_angle_gamma 90.00
loop_
_atom_site_label
_atom_site_fract_x
_atom_site_fract_y
_atom_site_fract_z
Ac1 0.0000 0.0000 0.0000
Ac2 0.0000 0.3251 0.0000
Mg1 0.0000 0.2026 0.5000
Np1 0.0000 0.5000 0.5000
N1 0.1679 0.5000 0.2472
N2 0.2495 0.1543 0.2921
```

=====

2.
Computed, not measured: an optimized crystal structure of Ac3MgOs2N6 at the PBE level of DFT.

Cell and atoms, written as CIF:
```
data_Ac3MgOs2N6
_symmetry_space_group_name_H-M 'P -3 m 1'
_symmetry_Int_Tables_number 164
_symmetry_space_group_name_Hall '-P 3 2"'
_cell_length_a 5.9312
_cell_length_b 5.9312
_cell_length_c 6.7151
_cell_angle_alpha 90.00
_cell_angle_beta 90.00
_cell_angle_gamma 120.00
loop_
_atom_site_label
_atom_site_fract_x
_atom_site_fract_y
_atom_site_fract_z
Ac1 0.0000 0.0000 0.0000
Ac2 0.3333 0.6667 0.6830
Mg1 0.0000 0.0000 0.5000
Os1 0.3333 0.6667 0.2001
N1 0.1657 0.3315 0.2990
```

=====

3.
Computed, not measured: an optimized crystal structure of Ac2MgOs2N6 at the PBE level of DFT.

Cell and atoms, written as CIF:
```
data_Ac2MgOs2N6
_symmetry_space_group_name_H-M 'R -3 m'
_symmetry_Int_Tables_number 166
_symmetry_space_group_name_Hall '-R 3 2"'
_cell_length_a 5.8983
_cell_length_b 5.8983
_cell_length_c 17.6474
_cell_angle_alpha 90.00
_cell_angle_beta 90.00
_cell_angle_gamma 120.00
loop_
_atom_site_label
_atom_site_fract_x
_atom_site_fract_y
_atom_site_fract_z
Ac1 0.0000 0.0000 0.2136
Mg1 0.0000 0.0000 0.0000
Os1 0.0000 0.0000 0.4016
N1 0.0118 0.5059 0.7563
```

=====

4.
Computed, not measured: an optimized crystal structure of Ac2MgOsN4 at the PBE level of DFT.

Cell and atoms, written as CIF:
```
data_Ac2MgOsN4
_symmetry_space_group_name_H-M 'F d d d'
_symmetry_Int_Tables_number 70
_cell_length_a 4.9526
_cell_length_b 11.7223
_cell_length_c 19.0187
_cell_angle_alpha 90.00
_cell_angle_beta 90.00
_cell_angle_gamma 90.00
loop_
_symmetry_equiv_pos_as_xyz
'x,y,z'
'-x,-y,-z'
'-x+1/4,-y+1/4,z'
'x+1/4,y+1/4,-z'
'x,-y+1/4,-z+1/4'
'-x,y+1/4,z+1/4'
'-x+1/4,y,-z+1/4'
'x+1/4,-y,z+1/4'
'x,y+1/2,z+1/2'
'-x,-y+1/2,-z+1/2'
'-x+1/4,-y+3/4,z+1/2'
'x+1/4,y+3/4,-z+1/2'
'x,-y+3/4,-z+3/4'
'-x,y+3/4,z+3/4'
'-x+1/4,y+1/2,-z+3/4'
'x+1/4,-y+1/2,z+3/4'
'x+1/2,y,z+1/2'
'-x+1/2,-y,-z+1/2'
'-x+3/4,-y+1/4,z+1/2'
'x+3/4,y+1/4,-z+1/2'
'x+1/2,-y+1/4,-z+3/4'
'-x+1/2,y+1/4,z+3/4'
'-x+3/4,y,-z+3/4'
'x+3/4,-y,z+3/4'
'x+1/2,y+1/2,z'
'-x+1/2,-y+1/2,-z'
'-x+3/4,-y+3/4,z'
'x+3/4,y+3/4,-z'
'x+1/2,-y+3/4,-z+1/4'
'-x+1/2,y+3/4,z+1/4'
'-x+3/4,y+1/2,-z+1/4'
'x+3/4,-y+1/2,z+1/4'
loop_
_atom_site_label
_atom_site_fract_x
_atom_site_fract_y
_atom_site_fract_z
Ac1 0.1250 0.1250 0.3031
Mg1 0.1250 0.1250 0.1250
Os1 0.1250 0.1250 0.6250
N1 0.1125 0.2562 0.8358
```

=====

Total energy readings, ordered: -7.3918; -7.7155; -7.8175; -7.0028 eV/atom